A) First-principles (GGA-PBE) data for crystalline Tb2Sm7Tm2 at its relaxed geometry, as listed in Alexandria via LeMat-Bulk.

Cell: 6.866 9.575 6.866 Å, 90.00 122.34 90.00°
Sites, in units of the cell vectors:
Sm (0.500, 0.183, 0.500)
Tb (0.250, 0.500, 0.250)
Sm (0.500, 0.817, 0.500)
Tb (0.750, 0.500, 0.750)
Sm (0.500, 0.685, 0.000)
Sm (0.500, 0.315, 0.000)
Sm (0.000, 0.000, 0.000)
Tm (0.729, 0.000, 0.271)
Sm (0.000, 0.315, 0.500)
Sm (0.000, 0.685, 0.500)
Tm (0.271, 0.000, 0.729)

Output
SG: Cmmm (65)

=====

B) First-principles (GGA-PBE) data for crystalline Tb2Sm7Tm2 at its relaxed geometry, as listed in Alexandria via LeMat-Bulk.

Cell: 5.611 8.164 9.405 Å, 115.72 107.35 90.00°
Sites, in units of the cell vectors:
Sm (0.867, 0.193, 0.734)
Sm (0.133, 0.459, 0.266)
Sm (0.663, 0.786, 0.325)
Sm (0.500, 0.920, 0.000)
Tm (0.500, 0.336, 0.000)
Sm (0.337, 0.461, 0.675)
Tm (0.000, 0.622, 0.000)
Sm (0.135, 0.052, 0.270)
Tb (0.299, 0.920, 0.598)
Sm (0.865, 0.782, 0.730)
Tb (0.701, 0.323, 0.402)

Output
SG: Imm2 (44)

=====

Result of the stability comparison: B) is the most stable of them.

=====

A) First-principles (GGA-PBE) data for crystalline Tb3Sm5Tm3 at its relaxed geometry, as listed in Alexandria via LeMat-Bulk.

Cell: 3.437 11.193 11.193 Å, 120.00 90.00 90.00°
Sites, in units of the cell vectors:
Tb (0.000, 0.000, 0.596)
Tm (0.500, 0.841, 0.000)
Sm (0.500, 0.333, 0.667)
Sm (0.500, 0.338, 0.000)
Tb (0.000, 0.596, 0.000)
Tm (0.500, 0.159, 0.159)
Tm (0.500, 0.000, 0.841)
Sm (0.500, 0.662, 0.662)
Sm (0.500, 0.000, 0.338)
Sm (0.500, 0.667, 0.333)
Tb (0.000, 0.404, 0.404)

Output
SG: P-62m (189)

=====

B) First-principles (GGA-PBE) data for crystalline Tb3Sm5Tm3 at its relaxed geometry, as listed in Alexandria via LeMat-Bulk.

Cell: 5.518 9.711 9.711 Å, 120.00 90.00 90.00°
Sites, in units of the cell vectors:
Sm (0.500, 0.667, 0.333)
Tb (0.000, 0.454, 0.454)
Tb (0.000, 0.546, 0.000)
Tm (0.500, 0.000, 0.369)
Tb (0.000, 0.000, 0.546)
Sm (0.500, 0.000, 0.732)
Sm (0.500, 0.732, 0.000)
Sm (0.500, 0.268, 0.268)
Sm (0.500, 0.333, 0.667)
Tm (0.500, 0.631, 0.631)
Tm (0.500, 0.369, 0.000)

Output
SG: P-62m (189)

=====

Result of the stability comparison: A) is the most stable of them.

=====

A) First-principles (GGA-PBE) data for crystalline Tb5SmTm6 at its relaxed geometry, as listed in Alexandria via LeMat-Bulk.

Cell: 10.031 10.031 5.721 Å, 106.57 106.57 124.25°
Sites, in units of the cell vectors:
Tb (0.153, 0.847, 0.500)
Tm (0.431, 0.069, 0.250)
Sm (0.000, 0.000, 0.000)
Tm (0.250, 0.250, 0.750)
Tb (0.847, 0.153, 0.500)
Tm (0.569, 0.931, 0.750)
Tm (0.750, 0.750, 0.250)
Tb (0.347, 0.653, 0.000)
Tb (0.500, 0.500, 0.500)
Tb (0.653, 0.347, 0.000)
Tm (0.931, 0.569, 0.750)
Tm (0.069, 0.431, 0.250)

Output
SG: Immm (71)

=====

B) First-principles (GGA-PBE) data for crystalline Tb5SmTm6 at its relaxed geometry, as listed in Alexandria via LeMat-Bulk.

Cell: 11.647 6.120 6.115 Å, 59.97 85.00 79.97°
Sites, in units of the cell vectors:
Tm (0.749, 0.417, 0.666)
Tb (0.000, 0.667, 0.667)
Tb (0.500, 0.167, 0.666)
Tm (0.251, 0.583, 0.334)
Tm (0.749, 0.750, 0.000)
Tm (0.749, 0.084, 0.334)
Tm (0.251, 0.916, 0.666)
Sm (0.000, 0.000, 0.000)
Tb (0.500, 0.833, 0.334)
Tb (0.500, 0.500, 0.000)
Tm (0.251, 0.250, 0.000)
Tb (0.000, 0.333, 0.333)

Output
SG: C2/m (12)

=====

Result of the stability comparison: B) is the most stable of them.

=====

A) First-principles (GGA-PBE) data for crystalline TbSmTm at its relaxed geometry, as listed in Alexandria via LeMat-Bulk.

Cell: 3.586 7.169 8.831 Å, 78.29 78.30 60.00°
Sites, in units of the cell vectors:
Tm (0.374, 0.892, 0.575)
Tb (0.373, 0.394, 0.575)
Tm (0.816, 0.616, 0.247)
Tb (0.817, 0.114, 0.247)
Sm (0.594, 0.505, 0.913)
Sm (0.596, 0.003, 0.910)

Output
SG: C2/m (12)

=====

B) First-principles (GGA-PBE) data for crystalline TbSmTm at its relaxed geometry, as listed in Alexandria via LeMat-Bulk.

Cell: 3.473 5.623 5.623 Å, 120.00 90.00 90.00°
Sites, in units of the cell vectors:
Sm (0.167, 0.000, 0.000)
Tb (0.667, 0.333, 0.667)
Tm (0.167, 0.667, 0.333)

Output
SG: P-6m2 (187)

=====

C) First-principles (GGA-PBE) data for crystalline TbSmTm at its relaxed geometry, as listed in Alexandria via LeMat-Bulk.

Cell: 3.560 3.560 8.693 Å, 90.00 90.00 120.00°
Sites, in units of the cell vectors:
Sm (0.458, 0.105, 0.112)
Tm (0.791, 0.772, 0.779)
Tb (0.124, 0.439, 0.452)

Output
SG: P3m1 (156)

=====

Result of the stability comparison: A) is the most stable of them.

=====

A) First-principles (GGA-PBE) data for crystalline TbSmTm at its relaxed geometry, as listed in Alexandria via LeMat-Bulk.

Cell: 3.557 3.557 7.964 Å, 102.91 102.91 90.00°
Sites, in units of the cell vectors:
Tb (0.332, 0.332, 0.663)
Tm (0.668, 0.668, 0.335)
Sm (0.001, 0.001, 0.002)

Output
SG: I4mm (107)

=====

B) First-principles (GGA-PBE) data for crystalline TbSmTm at its relaxed geometry, as listed in Alexandria via LeMat-Bulk.

Cell: 5.917 5.917 6.320 Å, 90.00 90.00 90.00°
Sites, in units of the cell vectors:
Tb (0.000, 0.500, 0.000)
Sm (0.500, 0.500, 0.500)
Tb (0.500, 0.000, 0.500)
Tm (0.000, 0.000, 0.250)
Sm (0.500, 0.500, 0.000)
Tm (0.000, 0.000, 0.750)

Output
SG: P4_2/mmc (131)

=====

Result of the stability comparison: A) is the most stable of them.

=====

A) First-principles (GGA-PBE) data for crystalline Tb4SmTm2 at its relaxed geometry, as listed in Alexandria via LeMat-Bulk.

Cell: 8.458 8.403 6.549 Å, 127.62 128.33 90.01°
Sites, in units of the cell vectors:
Tm (0.231, 0.770, 0.498)
Tm (0.770, 0.230, 0.503)
Tb (0.685, 0.687, 0.978)
Tb (0.698, 0.302, 0.001)
Sm (0.999, 0.999, 0.997)
Tb (0.315, 0.313, 0.022)
Tb (0.303, 0.699, 0.001)

Output
SG: P1 (1)

=====

B) First-principles (GGA-PBE) data for crystalline Tb4SmTm2 at its relaxed geometry, as listed in Alexandria via LeMat-Bulk.

Cell: 3.520 8.715 8.515 Å, 118.59 101.93 90.00°
Sites, in units of the cell vectors:
Tb (0.361, 0.169, 0.722)
Tb (0.704, 0.294, 0.409)
Tm (0.930, 0.570, 0.859)
Tb (0.639, 0.831, 0.278)
Sm (0.000, 0.000, 0.000)
Tm (0.070, 0.430, 0.141)
Tb (0.296, 0.706, 0.591)

Output
SG: C2/m (12)

=====

Result of the stability comparison: B) is the most stable of them.

=====

A) First-principles (GGA-PBE) data for crystalline Tb5SmTm3 at its relaxed geometry, as listed in Alexandria via LeMat-Bulk.

Cell: 9.685 11.929 6.980 Å, 125.78 90.00 113.95°
Sites, in units of the cell vectors:
Tb (0.695, 0.695, 0.945)
Tb (0.639, 0.000, 0.250)
Tm (0.332, 0.664, 0.664)
Sm (0.696, 0.000, 0.750)
Tm (0.000, 0.000, 0.500)
Tb (0.361, 0.000, 0.750)
Sm (0.304, 0.000, 0.250)
Tm (0.000, 0.000, 0.000)
Tb (0.000, 0.640, 0.890)
Tb (0.360, 0.360, 0.610)
Tb (0.000, 0.360, 0.110)
Tm (0.668, 0.336, 0.836)
Tb (0.000, 0.305, 0.555)
Tb (0.640, 0.640, 0.390)
Tb (0.000, 0.695, 0.445)
Tb (0.305, 0.305, 0.055)
Tm (0.332, 0.664, 0.164)
Tm (0.668, 0.336, 0.336)

Output
SG: Cmcm (63)

=====

B) First-principles (GGA-PBE) data for crystalline Tb5SmTm3 at its relaxed geometry, as listed in Alexandria via LeMat-Bulk.

Cell: 9.297 9.297 12.777 Å, 51.30 51.30 50.81°
Sites, in units of the cell vectors:
Tm (0.302, 0.302, 0.318)
Tb (0.079, 0.492, 0.778)
Tb (0.921, 0.508, 0.222)
Tb (0.558, 0.558, 0.568)
Tm (0.167, 0.167, 0.662)
Sm (0.105, 0.105, 0.130)
Tm (0.000, 0.000, 0.000)
Tb (0.631, 0.631, 0.069)
Tb (0.442, 0.442, 0.432)
Tb (0.369, 0.369, 0.931)
Tm (0.000, 0.000, 0.500)
Tb (0.508, 0.921, 0.222)
Tm (0.833, 0.833, 0.338)
Tb (0.321, 0.679, 0.000)
Tb (0.492, 0.079, 0.778)
Sm (0.895, 0.895, 0.870)
Tb (0.679, 0.321, 0.000)
Tm (0.698, 0.698, 0.682)

Output
SG: C2/m (12)

=====

Result of the stability comparison: A) is the most stable of them.

=====

A) First-principles (GGA-PBE) data for crystalline TbSm3Tm4 at its relaxed geometry, as listed in Alexandria via LeMat-Bulk.

Cell: 3.453 11.558 8.832 Å, 130.86 101.33 89.90°
Sites, in units of the cell vectors:
Tb (0.500, 0.000, 0.000)
Sm (0.757, 0.756, 0.513)
Tm (0.635, 0.889, 0.271)
Tm (0.635, 0.381, 0.270)
Sm (0.243, 0.244, 0.487)
Tm (0.365, 0.619, 0.730)
Tm (0.365, 0.111, 0.729)
Sm (0.000, 0.500, 0.000)

Output
SG: C2/m (12)

=====

B) First-principles (GGA-PBE) data for crystalline TbSm3Tm4 at its relaxed geometry, as listed in Alexandria via LeMat-Bulk.

Cell: 6.258 7.255 11.297 Å, 90.00 90.00 90.00°
Sites, in units of the cell vectors:
Sm (0.982, 0.627, 0.250)
Tm (0.481, 0.878, 0.749)
Sm (0.647, 0.627, 0.000)
Tm (0.981, 0.122, 0.751)
Tm (0.648, 0.122, 0.500)
Sm (0.482, 0.373, 0.750)
Sm (0.482, 0.373, 0.250)
Tm (0.648, 0.121, 0.000)
Sm (0.982, 0.627, 0.750)
Sm (0.147, 0.373, 0.500)
Tb (0.147, 0.371, 0.000)
Tm (0.148, 0.878, 0.000)
Tb (0.647, 0.629, 0.500)
Tm (0.981, 0.122, 0.249)
Tm (0.481, 0.878, 0.251)
Tm (0.148, 0.879, 0.500)

Output
SG: Pmn2_1 (31)

=====

Result of the stability comparison: B) is the most stable of them.

=====

A) First-principles (GGA-PBE) data for crystalline Tb5Sm2Tm2 at its relaxed geometry, as listed in Alexandria via LeMat-Bulk.

Cell: 6.173 6.158 9.404 Å, 89.92 109.09 120.10°
Sites, in units of the cell vectors:
Tb (0.778, 0.555, 0.669)
Tm (0.667, 0.334, 0.000)
Tb (0.222, 0.445, 0.331)
Tm (0.333, 0.666, 0.000)
Tb (0.112, 0.223, 0.669)
Sm (0.444, 0.888, 0.669)
Tb (0.888, 0.777, 0.331)
Sm (0.556, 0.112, 0.331)
Tb (0.000, 0.000, 0.000)

Output
SG: P-1 (2)

=====

B) First-principles (GGA-PBE) data for crystalline Tb5Sm2Tm2 at its relaxed geometry, as listed in Alexandria via LeMat-Bulk.

Cell: 11.790 6.703 10.053 Å, 109.47 125.90 90.00°
Sites, in units of the cell vectors:
Tb (0.410, 0.535, 0.287)
Tb (0.196, 0.654, 0.898)
Tb (0.804, 0.756, 0.102)
Tb (0.990, 0.150, 0.500)
Tm (0.625, 0.184, 0.254)
Tm (0.129, 0.684, 0.254)
Sm (0.256, 0.352, 0.500)
Sm (0.000, 0.028, 0.000)
Tb (0.798, 0.256, 0.102)
Sm (0.744, 0.852, 0.500)
Tm (0.871, 0.430, 0.746)
Tb (0.202, 0.154, 0.898)
Tb (0.623, 0.748, 0.713)
Tb (0.590, 0.248, 0.713)
Tm (0.375, 0.930, 0.746)
Sm (0.500, 0.528, 0.000)
Tb (0.377, 0.035, 0.287)
Tb (0.010, 0.650, 0.500)

Output
SG: Ima2 (46)

=====

Result of the stability comparison: A) is the most stable of them.

=====

A) First-principles (GGA-PBE) data for crystalline Tb5Sm12Tm2 at its relaxed geometry, as listed in Alexandria via LeMat-Bulk.

Cell: 9.243 12.422 8.707 Å, 132.56 90.00 111.84°
Sites, in units of the cell vectors:
Sm (0.434, 0.258, 0.580)
Sm (0.824, 0.258, 0.580)
Sm (0.441, 0.882, 0.223)
Tb (0.769, 0.538, 0.106)
Tb (0.000, 0.000, 0.500)
Sm (0.176, 0.742, 0.420)
Sm (0.969, 0.300, 0.063)
Sm (0.331, 0.300, 0.063)
Tb (0.703, 0.407, 0.380)
Sm (0.079, 0.159, 0.278)
Tm (0.671, 0.000, 0.000)
Tm (0.329, 0.000, 0.000)
Tb (0.231, 0.462, 0.894)
Tb (0.297, 0.593, 0.620)
Sm (0.921, 0.841, 0.722)
Sm (0.559, 0.118, 0.777)
Sm (0.566, 0.742, 0.420)
Sm (0.031, 0.700, 0.937)
Sm (0.669, 0.700, 0.937)

Output
SG: C2/m (12)

=====

B) First-principles (GGA-PBE) data for crystalline Tb5Sm12Tm2 at its relaxed geometry, as listed in Alexandria via LeMat-Bulk.

Cell: 10.482 9.262 7.986 Å, 87.44 90.00 124.46°
Sites, in units of the cell vectors:
Tb (0.243, 0.486, 0.515)
Sm (0.041, 0.623, 0.794)
Sm (0.553, 0.106, 0.291)
Sm (0.447, 0.894, 0.709)
Tb (0.000, 0.000, 0.500)
Sm (0.620, 0.788, 0.387)
Sm (0.582, 0.623, 0.794)
Tb (0.655, 0.309, 0.911)
Sm (0.380, 0.212, 0.613)
Tb (0.345, 0.691, 0.089)
Tm (0.736, 0.000, 0.000)
Sm (0.418, 0.377, 0.206)
Sm (0.168, 0.788, 0.387)
Sm (0.832, 0.212, 0.613)
Sm (0.864, 0.728, 0.108)
Tb (0.757, 0.514, 0.485)
Tm (0.264, 0.000, 0.000)
Sm (0.136, 0.272, 0.892)
Sm (0.959, 0.377, 0.206)

Output
SG: C2/m (12)

=====

Result of the stability comparison: A) is the most stable of them.